MnTePO2, relaxed, DFT PBEsol; formation energy from raw total energies = -0.09 eV per atom
1.0
3.926 0.000 0.000
0.000 3.926 0.000
0.000 0.000 5.274
Te Mn P O
1 1 1 2
Direct
0.000 0.000 0.000
0.500 0.500 0.500
0.000 0.000 0.500
0.500 0.000 0.000
0.000 0.500 0.000